Entry 1:
Below is a relaxed Sr2GaAgH crystal, with properties calculated at the PBE level.

```
Sr2GaAgH
1.0
5.446 0.000 0.000
0.000 5.446 0.000
0.000 0.000 4.008
Sr Ga Ag H
2 1 1 1
direct
0.000 0.500 0.000
0.500 0.000 0.000
0.000 0.000 0.500
0.500 0.500 0.500
0.500 0.500 0.000
```

Output
Energy above the most stable polymorph in this dataset ... 0.00 eV/f.u.
Space-group type ... P4/mmm, No. 123
Mass density ... 4.9 g cm⁻³
Final energy ... -2.821 eV/atom
N(E_F) ... 2.148 states/eV/cell

Entry 2:
Below is a relaxed Mg2BeRu crystal, with properties calculated at the PBE level.

```
Mg2BeRu
1.0
2.770 0.000 0.000
0.000 4.124 0.000
-0.929 0.000 5.245
Mg Be Ru
2 1 1
direct
0.050 0.000 0.249
0.950 0.000 0.751
0.500 0.500 0.500
0.500 0.500 0.000
```

Output
Space-group type ... P2/m, No. 10
Mass density ... 4.4 g cm⁻³
Final energy ... -3.826 eV/atom
N(E_F) ... 2.332 states/eV/cell
Calculated formation energy ... 222.0 meV/atom

Entry 3:
Below is a relaxed LaSi2Br crystal, with properties calculated at the PBE level.

```
LaSi2Br
1.0
-2.589 2.589 3.562
2.589 -2.589 3.562
2.589 2.589 -3.562
La Si Br
1 2 1
direct
0.000 0.000 0.000
0.250 0.750 0.500
0.500 0.500 0.000
0.750 0.250 0.500
```

Output
Energy above the most stable polymorph in this dataset ... 2.44 eV/f.u.
Raw formation energy ... -0.1422 eV per atom
Space-group type ... I-4m2, No. 119
Mass density ... 4.8 g cm⁻³
Final energy ... -4.504 eV/atom
N(E_F) ... 2.394 states/eV/cell

Entry 4:
Below is a relaxed SrEuAu4 crystal, with properties calculated at the PBE level.

```
SrEuAu4
1.0
0.000 4.115 4.115
4.115 0.000 4.115
4.115 4.115 0.000
Sr Eu Au
1 1 4
direct
0.000 0.000 0.000
0.250 0.250 0.250
0.125 0.625 0.625
0.625 0.125 0.625
0.625 0.625 0.125
0.625 0.625 0.625
```

Output
Space-group type ... F-43m, No. 216
Mass density ... 12.2 g cm⁻³
Final energy ... -4.739 eV/atom
N(E_F) ... 10.933 states/eV/cell
Calculated formation energy ... -561.4 meV/atom

Entry 5:
Below is a relaxed Nd2PbCl8 crystal, with properties calculated at the PBE level.

```
Nd2PbCl8
1.0
10.835 -2.039 0.000
10.835 2.039 0.000
-0.804 0.000 7.833
Nd Pb Cl
2 1 8
direct
0.161 0.161 0.342
0.839 0.839 0.658
0.500 0.500 0.000
0.025 0.025 0.257
0.242 0.242 0.668
0.364 0.364 0.926
0.383 0.383 0.467
0.617 0.617 0.533
0.636 0.636 0.074
0.758 0.758 0.332
0.975 0.975 0.743
```

Output
Raw formation energy ... -1.9494 eV per atom
Space-group type ... C2/m, No. 12
Mass density ... 3.7 g cm⁻³
Final energy ... -4.496 eV/atom
N(E_F) ... 0.000 states/eV/cell

Entry 6:
Below is a relaxed Ta2CrAg crystal, with properties calculated at the PBE level.

```
Ta2CrAg
1.0
2.751 0.000 0.000
0.000 4.624 0.000
-0.774 0.000 5.221
Ta Cr Ag
2 1 1
direct
0.000 0.000 0.000
0.269 0.500 0.719
0.548 0.000 0.540
0.656 0.500 0.239
```

Output
Energy above the most stable polymorph in this dataset ... 0.65 eV/f.u.
Space-group type ... Pm, No. 6
Mass density ... 13.0 g cm⁻³
Final energy ... -8.672 eV/atom
N(E_F) ... 4.309 states/eV/cell
Calculated formation energy ... 372.6 meV/atom

Entry 7:
Below is a relaxed BaTaOs3 crystal, with properties calculated at the PBE level.

```
BaTaOs3
1.0
4.916 0.000 0.000
0.000 4.916 0.000
0.000 0.000 4.916
Ba Ta Os
1 1 3
direct
0.000 0.000 0.000
0.500 0.500 0.500
0.000 0.500 0.500
0.500 0.000 0.500
0.500 0.500 0.000
```

Output
Energy above the most stable polymorph in this dataset ... 0.00 eV/f.u.
Space-group type ... Pm-3m, No. 221
Mass density ... 12.4 g cm⁻³
Final energy ... -7.999 eV/atom
N(E_F) ... 6.271 states/eV/cell
Calculated formation energy ... 1494.0 meV/atom

Entry 8:
Below is a relaxed Cd2SbMo crystal, with properties calculated at the PBE level.

```
Cd2SbMo
1.0
3.115 0.000 0.000
0.000 3.115 0.000
0.000 0.000 9.230
Cd Sb Mo
2 1 1
direct
0.000 0.000 0.000
0.500 0.500 0.250
0.500 0.500 0.666
0.000 0.000 0.466
```

Output
Raw formation energy ... 0.3236 eV per atom
Space-group type ... P4mm, No. 99
Mass density ... 8.2 g cm⁻³
Final energy ... -3.872 eV/atom
N(E_F) ... 2.429 states/eV/cell

Entry 9:
Below is a relaxed Li2VAsH crystal, with properties calculated at the PBE level.

```
Li2VAsH
1.0
3.835 0.000 0.000
0.000 3.835 0.000
0.000 0.000 4.073
Li V As H
2 1 1 1
direct
0.000 0.500 0.000
0.500 0.000 0.000
0.000 0.000 0.500
0.500 0.500 0.500
0.000 0.000 0.000
```

Output
Space-group type ... P4/mmm, No. 123
Mass density ... 3.9 g cm⁻³
Final energy ... -4.522 eV/atom
N(E_F) ... 2.079 states/eV/cell

Entry 10:
Below is a relaxed TmZn2Pt2 crystal, with properties calculated at the PBE level.

```
TmZn2Pt2
1.0
-1.872 1.872 6.443
1.872 -1.872 6.443
1.872 1.872 -6.443
Tm Zn Pt
1 2 2
direct
0.000 0.000 0.000
0.250 0.750 0.500
0.750 0.250 0.500
0.395 0.395 0.000
0.605 0.605 0.000
```

Output
Energy above the most stable polymorph in this dataset ... 0.00 eV/f.u.
Space-group type ... I4/mmm, No. 139
Mass density ... 12.7 g cm⁻³
Final energy ... -4.651 eV/atom
N(E_F) ... 1.872 states/eV/cell
Calculated formation energy ... -830.3 meV/atom

Entry 11:
Below is a relaxed La6Pr2Sm3 crystal, with properties calculated at the PBE level.

```
La6Pr2Sm3
1.0
-2.407 2.407 17.618
2.407 -2.407 17.618
2.407 2.407 -17.618
La Pr Sm
6 2 3
direct
0.119 0.619 0.500
0.211 0.211 0.000
0.381 0.881 0.500
0.619 0.119 0.500
0.789 0.789 0.000
0.881 0.381 0.500
0.045 0.045 0.000
0.955 0.955 0.000
0.309 0.309 0.000
0.500 0.500 0.000
0.691 0.691 0.000
```

Output
Energy above the most stable polymorph in this dataset ... 2.58 eV/f.u.
Space-group type ... I4/mmm, No. 139
Mass density ... 6.4 g cm⁻³
Final energy ... -4.592 eV/atom
N(E_F) ... 18.959 states/eV/cell
Calculated formation energy ... 251.9 meV/atom

Entry 12:
Below is a relaxed Li2CaAu2 crystal, with properties calculated at the PBE level.

```
Li2CaAu2
1.0
-2.015 2.015 6.364
2.015 -2.015 6.364
2.015 2.015 -6.364
Li Ca Au
2 1 2
direct
0.250 0.750 0.500
0.750 0.250 0.500
0.000 0.000 0.000
0.390 0.390 0.000
0.610 0.610 0.000
```

Output
Energy above the most stable polymorph in this dataset ... 0.00 eV/f.u.
Space-group type ... I4/mmm, No. 139
Mass density ... 7.2 g cm⁻³
Final energy ... -3.068 eV/atom
N(E_F) ... 2.098 states/eV/cell
Calculated formation energy ... -591.4 meV/atom

Entry 13:
Below is a relaxed TbDyThSc crystal, with properties calculated at the PBE level.

```
TbDyThSc
1.0
0.000 3.923 3.923
3.923 0.000 3.923
3.923 3.923 0.000
Tb Dy Th Sc
1 1 1 1
direct
0.000 0.000 0.000
0.750 0.750 0.750
0.500 0.500 0.500
0.250 0.250 0.250
```

Output
Energy above the most stable polymorph in this dataset ... 0.36 eV/f.u.
Space-group type ... F-43m, No. 216
Mass density ... 8.2 g cm⁻³
Final energy ... -5.628 eV/atom
N(E_F) ... 7.694 states/eV/cell
Calculated formation energy ... 117.6 meV/atom

Entry 14:
Below is a relaxed ZnSnS2Cl crystal, with properties calculated at the PBE level.

```
ZnSnS2Cl
1.0
4.693 0.000 0.000
0.000 4.693 0.000
0.000 0.000 4.960
Zn Sn S Cl
1 1 2 1
direct
0.000 0.000 0.000
0.500 0.500 0.500
0.000 0.500 0.000
0.500 0.000 0.000
0.000 0.000 0.500
```

Output
Energy above the most stable polymorph in this dataset ... 0.00 eV/f.u.
Raw formation energy ... -0.1841 eV per atom
Space-group type ... P4/mmm, No. 123
Mass density ... 4.3 g cm⁻³
Final energy ... -3.260 eV/atom
N(E_F) ... 2.165 states/eV/cell

Entry 15:
Below is a relaxed Ca2AcIn2Sn2 crystal, with properties calculated at the PBE level.

```
Ca2AcIn2Sn2
1.0
2.643 1.526 9.088
-2.643 1.526 9.088
0.000 -3.052 9.088
Ca Ac In Sn
2 1 2 2
direct
0.134 0.134 0.134
0.866 0.866 0.866
0.000 0.000 0.000
0.416 0.416 0.416
0.584 0.584 0.584
0.258 0.258 0.258
0.742 0.742 0.742
```

Output
Space-group type ... R-3m, No. 166
Mass density ... 5.8 g cm⁻³
Final energy ... -3.453 eV/atom
N(E_F) ... 5.332 states/eV/cell
Calculated formation energy ... -368.0 meV/atom

Entry 16:
Below is a relaxed TbZnIr crystal, with properties calculated at the PBE level.

```
TbZnIr
1.0
-1.711 1.711 4.864
1.711 -1.711 4.864
1.711 1.711 -4.864
Tb Zn Ir
1 1 1
direct
0.000 0.000 0.000
0.299 0.299 0.000
0.674 0.674 0.000
```

Output
Space-group type ... I4mm, No. 107
Mass density ... 12.1 g cm⁻³
Final energy ... -5.375 eV/atom
N(E_F) ... 1.816 states/eV/cell
Calculated formation energy ... -453.0 meV/atom

Entry 17:
Below is a relaxed V4H2S5 crystal, with properties calculated at the PBE level.

```
V4H2S5
1.0
7.207 -1.556 0.000
7.207 1.556 0.000
-1.586 0.000 6.600
V H S
4 2 5
direct
0.002 0.002 0.272
0.359 0.359 0.424
0.641 0.641 0.576
0.998 0.998 0.728
0.473 0.473 0.595
0.527 0.527 0.405
0.162 0.162 0.834
0.175 0.175 0.344
0.500 0.500 0.000
0.825 0.825 0.656
0.838 0.838 0.166
```

Output
Space-group type ... C2/m, No. 12
Mass density ... 4.1 g cm⁻³
Final energy ... -6.422 eV/atom
N(E_F) ... 5.603 states/eV/cell

Entry 18:
Below is a relaxed Fe2Sb2Au crystal, with properties calculated at the PBE level.

```
Fe2Sb2Au
1.0
7.503 0.000 0.000
0.000 7.503 0.000
0.000 0.000 2.977
Fe Sb Au
4 4 2
direct
0.138 0.362 0.000
0.362 0.862 0.000
0.638 0.138 0.000
0.862 0.638 0.000
0.154 0.654 0.500
0.346 0.154 0.500
0.654 0.846 0.500
0.846 0.346 0.500
0.000 0.000 0.500
0.500 0.500 0.500
```

Output
Energy above the most stable polymorph in this dataset ... 1.04 eV/f.u.
Raw formation energy ... 0.3890 eV per atom
Space-group type ... P4/mbm, No. 127
Mass density ... 10.9 g cm⁻³
Final energy ... -5.300 eV/atom
N(E_F) ... 5.448 states/eV/cell

Entry 19:
Below is a relaxed RbLi2Y2 crystal, with properties calculated at the PBE level.

```
RbLi2Y2
1.0
10.045 0.000 0.000
0.000 10.045 0.000
0.000 0.000 3.429
Rb Li Y
2 4 4
direct
0.000 0.000 0.000
0.500 0.500 0.000
0.172 0.328 0.000
0.328 0.828 0.000
0.672 0.172 0.000
0.828 0.672 0.000
0.116 0.616 0.500
0.384 0.116 0.500
0.616 0.884 0.500
0.884 0.384 0.500
```

Output
Energy above the most stable polymorph in this dataset ... 0.00 eV/f.u.
Space-group type ... P4/mbm, No. 127
Mass density ... 2.7 g cm⁻³
Final energy ... -3.161 eV/atom
N(E_F) ... 8.376 states/eV/cell
Calculated formation energy ... 383.6 meV/atom

Entry 20:
Below is a relaxed TiS2ClF crystal, with properties calculated at the PBE level.

```
TiS2ClF
1.0
4.679 0.000 0.000
0.000 4.679 0.000
0.000 0.000 4.709
Ti S Cl F
1 2 1 1
direct
0.000 0.000 0.000
0.000 0.500 0.000
0.500 0.000 0.000
0.000 0.000 0.500
0.500 0.500 0.500
```

Output
Energy above the most stable polymorph in this dataset ... 0.00 eV/f.u.
Raw formation energy ... -0.5748 eV per atom
Space-group type ... P4/mmm, No. 123
Mass density ... 2.7 g cm⁻³
Final energy ... -4.548 eV/atom
N(E_F) ... 3.921 states/eV/cell